[1]
{
  "formula": "PrLu2Ir",
  "functional": "GGA-PBE",
  "state": "relaxed",
  "lattice_angstrom": [[3.432, 0.000, 0.000], [0.000, 3.432, 0.000], [0.000, 0.000, 8.799]],
  "species": ["Pr", "Lu", "Lu", "Ir"],
  "fractional_positions": [[0.000, 0.000, 0.000], [0.500, 0.500, 0.318], [0.500, 0.500, 0.682], [0.000, 0.000, 0.500]],
  "total_energy_ev_per_cell": -24.71,
  "m_tot_mub_per_cell": 0.000,
  "e_form_ev_per_atom": -0.507,
  "crystal_system": "tetragonal",
  "de_polymorph_mev_per_atom": 0,
  "spacegroup": "No. 123"
}

=====

[2]
{
  "formula": "Mg3NiB",
  "functional": "GGA-PBE",
  "state": "relaxed",
  "lattice_angstrom": [[4.708, 0.000, 0.000], [0.000, 4.708, 0.000], [0.000, 0.000, 4.708]],
  "species": ["Mg", "Mg", "Mg", "Ni", "B"],
  "fractional_positions": [[0.000, 0.000, 0.500], [0.000, 0.500, 0.000], [0.500, 0.000, 0.000], [0.000, 0.000, 0.000], [0.500, 0.500, 0.500]],
  "total_energy_ev_per_cell": -12.73,
  "m_tot_mub_per_cell": 0.000,
  "e_form_ev_per_atom": 0.902,
  "crystal_system": "cubic",
  "de_polymorph_mev_per_atom": 473,
  "spacegroup": "No. 221"
}

=====

[3]
{
  "formula": "NaGe",
  "functional": "GGA-PBE",
  "state": "relaxed",
  "lattice_angstrom": [[2.831, -4.907, 0.000], [2.831, 4.907, 0.000], [0.000, 0.000, 3.980]],
  "species": ["Na", "Na", "Ge", "Ge"],
  "fractional_positions": [[0.188, 0.812, 0.750], [0.812, 0.188, 0.250], [0.428, 0.572, 0.250], [0.572, 0.428, 0.750]],
  "total_energy_ev_per_cell": -12.02,
  "m_tot_mub_per_cell": 0.000,
  "e_form_ev_per_atom": -0.036,
  "crystal_system": "orthorhombic",
  "spacegroup": "No. 63"
}

=====

[4]
{
  "formula": "TbNi4Pb",
  "functional": "GGA-PBE",
  "state": "relaxed",
  "lattice_angstrom": [[0.000, 3.575, 3.575], [3.575, 0.000, 3.575], [3.575, 3.575, 0.000]],
  "species": ["Tb", "Ni", "Ni", "Ni", "Ni", "Pb"],
  "fractional_positions": [[0.000, 0.000, 0.000], [0.375, 0.375, 0.375], [0.375, 0.375, 0.875], [0.375, 0.875, 0.375], [0.875, 0.375, 0.375], [0.750, 0.750, 0.750]],
  "total_energy_ev_per_cell": -32.96,
  "m_tot_mub_per_cell": 0.000,
  "e_form_ev_per_atom": -0.249,
  "crystal_system": "cubic",
  "spacegroup": "No. 216"
}

=====

[5]
{
  "formula": "La2ThHg5",
  "functional": "GGA-PBE",
  "state": "relaxed",
  "lattice_angstrom": [[-2.666, 2.666, 7.726], [2.666, -2.666, 7.726], [2.666, 2.666, -7.726]],
  "species": ["La", "La", "Th", "Hg", "Hg", "Hg", "Hg", "Hg"],
  "fractional_positions": [[0.233, 0.233, 0.000], [0.767, 0.767, 0.000], [0.500, 0.500, 0.000], [0.000, 0.000, 0.000], [0.118, 0.618, 0.500], [0.382, 0.882, 0.500], [0.618, 0.118, 0.500], [0.882, 0.382, 0.500]],
  "total_energy_ev_per_cell": -21.81,
  "m_tot_mub_per_cell": 0.154,
  "e_form_ev_per_atom": -0.379,
  "crystal_system": "tetragonal",
  "spacegroup": "No. 139"
}

=====

[6]
{
  "formula": "InCuRh2",
  "functional": "GGA-PBE",
  "state": "relaxed",
  "lattice_angstrom": [[-1.947, 1.947, 9.018], [1.947, -1.947, 9.018], [1.947, 1.947, -9.018]],
  "species": ["In", "In", "Cu", "Cu", "Rh", "Rh", "Rh", "Rh"],
  "fractional_positions": [[0.000, 0.000, 0.000], [0.750, 0.250, 0.500], [0.250, 0.750, 0.500], [0.500, 0.500, 0.000], [0.168, 0.625, 0.043], [0.375, 0.418, 0.543], [0.582, 0.125, 0.957], [0.875, 0.832, 0.457]],
  "total_energy_ev_per_cell": -41.03,
  "m_tot_mub_per_cell": 0.000,
  "e_form_ev_per_atom": 0.256,
  "crystal_system": "tetragonal",
  "spacegroup": "No. 122"
}

=====

[7]
{
  "formula": "Nd2Sm4Hg3N2",
  "functional": "GGA-PBE",
  "state": "relaxed",
  "lattice_angstrom": [[-2.441, 2.441, 12.200], [2.441, -2.441, 12.200], [2.441, 2.441, -12.200]],
  "species": ["Nd", "Nd", "Sm", "Sm", "Sm", "Sm", "Hg", "Hg", "Hg", "N", "N"],
  "fractional_positions": [[0.197, 0.197, 0.000], [0.803, 0.803, 0.000], [0.084, 0.584, 0.500], [0.416, 0.916, 0.500], [0.584, 0.084, 0.500], [0.916, 0.416, 0.500], [0.327, 0.327, 0.000], [0.500, 0.500, 0.000], [0.673, 0.673, 0.000], [0.104, 0.104, 0.000], [0.896, 0.896, 0.000]],
  "total_energy_ev_per_cell": -53.48,
  "m_tot_mub_per_cell": 0.000,
  "crystal_system": "tetragonal",
  "spacegroup": "No. 139"
}

=====

[8]
{
  "formula": "NaMg3Sn",
  "functional": "GGA-PBE",
  "state": "relaxed",
  "lattice_angstrom": [[5.533, 0.000, 0.000], [0.000, 5.533, 0.000], [0.000, 0.000, 5.533]],
  "species": ["Na", "Mg", "Mg", "Mg", "Sn"],
  "fractional_positions": [[0.000, 0.000, 0.000], [0.000, 0.500, 0.500], [0.500, 0.000, 0.500], [0.500, 0.500, 0.000], [0.500, 0.500, 0.500]],
  "total_energy_ev_per_cell": -8.79,
  "m_tot_mub_per_cell": 0.000,
  "e_form_ev_per_atom": 0.263,
  "crystal_system": "cubic",
  "de_polymorph_mev_per_atom": 0,
  "spacegroup": "No. 221"
}

=====

[9]
{
  "formula": "Sm5Dy5Cd2",
  "functional": "GGA-PBE",
  "state": "relaxed",
  "lattice_angstrom": [[6.126, -2.725, 0.000], [6.126, 2.725, 0.000], [-0.040, 0.000, 11.100]],
  "species": ["Sm", "Sm", "Sm", "Sm", "Sm", "Dy", "Dy", "Dy", "Dy", "Dy", "Cd", "Cd"],
  "fractional_positions": [[0.000, 0.000, 0.000], [0.321, 0.321, 0.533], [0.480, 0.480, 0.249], [0.520, 0.520, 0.751], [0.679, 0.679, 0.467], [0.000, 0.000, 0.500], [0.183, 0.183, 0.248], [0.321, 0.321, 0.966], [0.679, 0.679, 0.034], [0.817, 0.817, 0.752], [0.151, 0.151, 0.750], [0.849, 0.849, 0.250]],
  "total_energy_ev_per_cell": -49.20,
  "m_tot_mub_per_cell": 0.000,
  "e_form_ev_per_atom": -0.064,
  "crystal_system": "monoclinic",
  "spacegroup": "No. 12"
}

=====

[10]
{
  "formula": "ZrMn2Cr",
  "functional": "GGA-PBE",
  "state": "relaxed",
  "lattice_angstrom": [[-1.844, 1.844, 9.089], [1.844, -1.844, 9.089], [1.844, 1.844, -9.089]],
  "species": ["Zr", "Zr", "Mn", "Mn", "Mn", "Mn", "Cr", "Cr"],
  "fractional_positions": [[0.000, 0.000, 0.000], [0.750, 0.250, 0.500], [0.218, 0.625, 0.093], [0.375, 0.468, 0.593], [0.532, 0.125, 0.907], [0.875, 0.782, 0.407], [0.250, 0.750, 0.500], [0.500, 0.500, 0.000]],
  "total_energy_ev_per_cell": -67.06,
  "m_tot_mub_per_cell": 2.786,
  "e_form_ev_per_atom": 0.745,
  "crystal_system": "tetragonal",
  "de_polymorph_mev_per_atom": 696,
  "spacegroup": "No. 122"
}

=====

[11]
{
  "formula": "YZr2PbW",
  "functional": "GGA-PBE",
  "state": "relaxed",
  "lattice_angstrom": [[5.123, 0.000, 0.000], [0.000, 5.123, 0.000], [0.000, 0.000, 5.550]],
  "species": ["Y", "Zr", "Zr", "Pb", "W"],
  "fractional_positions": [[0.000, 0.000, 0.000], [0.000, 0.500, 0.000], [0.500, 0.000, 0.000], [0.000, 0.000, 0.500], [0.500, 0.500, 0.500]],
  "total_energy_ev_per_cell": -30.01,
  "m_tot_mub_per_cell": 3.236,
  "e_form_ev_per_atom": 2.042,
  "crystal_system": "tetragonal",
  "spacegroup": "No. 123"
}

=====

[12]
{
  "formula": "Sm3Zn2Ni",
  "functional": "GGA-PBE",
  "state": "relaxed",
  "lattice_angstrom": [[12.293, 0.000, 0.000], [0.000, 4.599, 0.000], [0.000, 0.000, 10.052]],
  "species": ["Sm", "Sm", "Sm", "Sm", "Sm", "Sm", "Sm", "Sm", "Sm", "Sm", "Sm", "Sm", "Zn", "Zn", "Zn", "Zn", "Zn", "Zn", "Zn", "Zn", "Ni", "Ni", "Ni", "Ni"],
  "fractional_positions": [[0.059, 0.250, 0.107], [0.106, 0.750, 0.565], [0.242, 0.250, 0.783], [0.258, 0.750, 0.283], [0.394, 0.250, 0.065], [0.441, 0.750, 0.607], [0.559, 0.250, 0.393], [0.606, 0.750, 0.935], [0.742, 0.250, 0.717], [0.758, 0.750, 0.217], [0.894, 0.250, 0.435], [0.941, 0.750, 0.893], [0.011, 0.750, 0.289], [0.202, 0.750, 0.983], [0.298, 0.250, 0.483], [0.489, 0.250, 0.789], [0.511, 0.750, 0.211], [0.702, 0.750, 0.517], [0.798, 0.250, 0.017], [0.989, 0.250, 0.711], [0.117, 0.250, 0.369], [0.383, 0.750, 0.869], [0.617, 0.250, 0.131], [0.883, 0.750, 0.631]],
  "total_energy_ev_per_cell": -97.40,
  "m_tot_mub_per_cell": 0.000,
  "e_form_ev_per_atom": -0.310,
  "crystal_system": "orthorhombic",
  "spacegroup": "No. 62"
}